No. 1
Material: Hg2PbAu
Method: DFT, SCAN
State: single point on PBEsol structure

Lattice parameters (Å, degrees): 7.1439 7.1439 7.1439 90.00 90.00 90.00
With the nearest neighbours (Å) after each atom.
Space group F-43m (No. 216)
Symmetry-distinct sites (fractional):
Hg  0.0000  0.0000  0.0000 (multiplicity 4)  4 Hg 3.09, 4 Au 3.09
Hg  0.2500  0.2500  0.2500 (multiplicity 4)  4 Hg 3.09, 4 Pb 3.09
Pb  0.0000  0.0000  0.5000 (multiplicity 4)  4 Au 3.09, 4 Hg 3.09
Au  0.2500  0.2500  0.7500 (multiplicity 4)  4 Hg 3.09, 4 Pb 3.09

Output
Crystal system: cubic
Mass density (kg/m3): 14672



No. 2
Material: Hg2PbAu
Method: DFT, SCAN
State: single point on PBEsol structure

Lattice parameters (Å, degrees): 3.3901 3.3901 7.9882 90.00 90.00 90.00
With the nearest neighbours (Å) after each atom.
Space group P4mm (No. 99)
Symmetry-distinct sites (fractional):
Hg  0.0000  0.0000  0.0000 (multiplicity 1)  8 Hg 3.12-3.39, 4 Pb 3.38
Hg  0.5000  0.5000  0.2502 (multiplicity 1)  4 Au 2.97, 4 Hg 3.12
Pb  0.5000  0.5000  0.7018 (multiplicity 1)  4 Au 3.03, 4 Hg 3.38, 4 Pb 3.39
Au  0.0000  0.0000  0.4697 (multiplicity 1)  4 Hg 2.97, 4 Pb 3.03

Output
Crystal system: tetragonal
Mass density (kg/m3): 14567



No. 3
Material: Hg2PbAu2
Method: DFT, SCAN
State: single point on PBEsol structure

Lattice parameters (Å, degrees): 3.9260 3.9260 14.5675 90.00 90.00 90.00
With the nearest neighbours (Å) after each atom.
Space group I4/mmm (No. 139)
Symmetry-distinct sites (fractional):
Hg  0.0000  0.0000  0.1053 (multiplicity 4)  4 Au 2.88, 1 Hg 3.07, 4 Pb 3.17
Pb  0.0000  0.0000  0.5000 (multiplicity 2)  8 Hg 3.17
Au  0.0000  0.5000  0.2500 (multiplicity 4)  4 Au 2.78, 4 Hg 2.88

Output
Crystal system: tetragonal
E above lowest polymorph (meV per atom): 49
Mass density (kg/m3): 14825



No. 4
Material: Hg2PbAu
Method: DFT, SCAN
State: single point on PBEsol structure

Lattice parameters (Å, degrees): 4.0487 5.0084 4.7269 90.00 96.34 90.00
With the nearest neighbours (Å) after each atom.
Space group P2/m (No. 10)
Symmetry-distinct sites (fractional):
Hg  0.2173  0.0000  0.2704 (multiplicity 2)  2 Au 2.90, 3 Hg 2.94-2.98, 2 Pb 3.09
Pb  0.5000  0.5000  0.0000 (multiplicity 1)  4 Au 2.94-3.28, 4 Hg 3.09
Au  0.0000  0.5000  0.5000 (multiplicity 1)  4 Hg 2.90, 2 Pb 2.94

Output
Crystal system: monoclinic
Mass density (kg/m3): 14038



No. 5
Material: Hg2PbAu
Method: DFT, SCAN
State: single point on PBEsol structure

Lattice parameters (Å, degrees): 8.9040 3.6673 5.9822 90.00 104.72 90.00
With the nearest neighbours (Å) after each atom.
Space group Cm (No. 8)
Symmetry-distinct sites (fractional):
Hg  0.0000  0.0000  0.0000 (multiplicity 2)  3 Hg 2.90-2.96, 3 Pb 3.11-3.18, 2 Au 3.24
Hg  0.2484  0.0000  0.7659 (multiplicity 2)  3 Au 2.86-2.90, 3 Hg 2.90-2.96
Pb  0.2659  0.5000  0.3072 (multiplicity 2)  3 Au 2.93-3.04, 3 Hg 3.11-3.18
Au  0.0078  0.5000  0.5556 (multiplicity 2)  3 Hg 2.86-2.90, 3 Pb 2.93-3.04

Output
Crystal system: monoclinic
Mass density (kg/m3): 14157



No. 6
Material: TcHgPb2Au
Method: DFT, SCAN
State: single point on PBEsol structure

Lattice parameters (Å, degrees): 5.3875 5.3875 5.0886 90.00 90.00 90.00
With the nearest neighbours (Å) after each atom.
Space group P4/mmm (No. 123)
Symmetry-distinct sites (fractional):
Tc  0.0000  0.0000  0.0000 (multiplicity 1)  8 Pb 3.71, 4 Hg 3.81
Hg  0.5000  0.5000  0.0000 (multiplicity 1)  2 Au 2.54
Pb  0.0000  0.5000  0.5000 (multiplicity 2)  2 Au 2.69
Au  0.5000  0.5000  0.5000 (multiplicity 1)  2 Hg 2.54, 4 Pb 2.69

Output
Crystal system: tetragonal
Mass density (kg/m3): 10230



No. 7
Material: Hg3PdAu
Method: DFT, SCAN
State: single point on PBEsol structure

Lattice parameters (Å, degrees): 5.1507 5.1507 5.1507 90.00 90.00 90.00
With the nearest neighbours (Å) after each atom.
Space group Pm-3m (No. 221)
Symmetry-distinct sites (fractional):
Hg  0.0000  0.0000  0.5000 (multiplicity 3)  2 Au 2.58
Pd  0.5000  0.5000  0.5000 (multiplicity 1)  12 Hg 3.64
Au  0.0000  0.0000  0.0000 (multiplicity 1)  6 Hg 2.58

Output
Crystal system: cubic
Mass density (kg/m3): 11000



No. 8
Material: HgPd2Au2
Method: DFT, SCAN
State: single point on PBEsol structure

Lattice parameters (Å, degrees): 3.7193 3.7193 13.2904 90.00 90.00 90.00
With the nearest neighbours (Å) after each atom.
Space group I4/mmm (No. 139)
Symmetry-distinct sites (fractional):
Hg  0.0000  0.0000  0.0000 (multiplicity 2)  8 Pd 2.93
Pd  0.0000  0.0000  0.4025 (multiplicity 4)  1 Pd 2.59, 4 Au 2.75
Au  0.0000  0.5000  0.2500 (multiplicity 4)  4 Au 2.63, 4 Pd 2.75

Output
Crystal system: tetragonal
Mass density (kg/m3): 14585



No. 9
Material: HgPd3Au
Method: DFT, SCAN
State: single point on PBEsol structure

Lattice parameters (Å, degrees): 4.8680 4.8680 4.8680 90.00 90.00 90.00
With the nearest neighbours (Å) after each atom.
Space group Pm-3m (No. 221)
Symmetry-distinct sites (fractional):
Hg  0.0000  0.0000  0.0000 (multiplicity 1)  12 Pd 3.44
Pd  0.0000  0.5000  0.5000 (multiplicity 3)  2 Au 2.43
Au  0.5000  0.5000  0.5000 (multiplicity 1)  6 Pd 2.43

Output
Crystal system: cubic
Mass density (kg/m3): 10318



No. 10
Material: PmHgAu2
Method: DFT, SCAN
State: single point on PBEsol structure

Lattice parameters (Å, degrees): 6.9625 6.9625 6.9625 90.00 90.00 90.00
With the nearest neighbours (Å) after each atom.
Space group Fm-3m (No. 225)
Symmetry-distinct sites (fractional):
Pm  0.0000  0.0000  0.0000 (multiplicity 4)  8 Au 3.01
Hg  0.0000  0.0000  0.5000 (multiplicity 4)  8 Au 3.01
Au  0.2500  0.2500  0.2500 (multiplicity 8)  4 Hg 3.01, 4 Pm 3.01

Output
Crystal system: cubic
Mass density (kg/m3): 14554



No. 11
Material: HgPt2Au
Method: DFT, SCAN
State: single point on PBEsol structure

Lattice parameters (Å, degrees): 5.8748 7.6068 2.9593 90.00 90.00 90.00
With the nearest neighbours (Å) after each atom.
Space group Cmmm (No. 65)
Symmetry-distinct sites (fractional):
Hg  0.0000  0.0000  0.0000 (multiplicity 2)  8 Pt 2.82, 2 Au 2.94, 2 Hg 2.96
Pt  0.2500  0.2500  0.5000 (multiplicity 4)  4 Hg 2.82, 4 Au 2.82, 4 Pt 2.94-2.96
Au  0.0000  0.5000  0.0000 (multiplicity 2)  8 Pt 2.82, 2 Hg 2.94, 2 Au 2.96

Output
Crystal system: orthorhombic
Mass density (kg/m3): 19782



No. 12
Material: HgPt2Au
Method: DFT, SCAN
State: single point on PBEsol structure

Lattice parameters (Å, degrees): 2.8508 3.9827 5.8403 90.00 90.00 90.00
With the nearest neighbours (Å) after each atom.
Space group Pmm2 (No. 25)
Symmetry-distinct sites (fractional):
Hg  0.0000  0.0000  0.0000 (multiplicity 1)  2 Hg 2.85, 6 Pt 2.86-2.98, 4 Au 2.91
Pt  0.0000  0.0000  0.4905 (multiplicity 1)  6 Pt 2.82-2.85, 4 Au 2.83, 2 Hg 2.86-2.98
Pt  0.5000  0.5000  0.2520 (multiplicity 1)  2 Au 2.81-3.03, 6 Pt 2.82-2.85, 4 Hg 2.86
Au  0.5000  0.5000  0.7323 (multiplicity 1)  6 Pt 2.81-3.03, 2 Au 2.85, 4 Hg 2.91

Output
Crystal system: orthorhombic
Mass density (kg/m3): 19726



No. 13
Material: HgPt2Au
Method: DFT, SCAN
State: single point on PBEsol structure

Lattice parameters (Å, degrees): 2.8451 4.8190 4.8543 90.00 90.00 90.00
With the nearest neighbours (Å) after each atom.
Space group Pmmm (No. 47)
Symmetry-distinct sites (fractional):
Hg  0.0000  0.0000  0.0000 (multiplicity 1)  4 Pt 2.80, 4 Au 2.81, 2 Hg 2.85
Pt  0.0000  0.5000  0.5000 (multiplicity 1)  4 Au 2.80, 6 Pt 2.81-2.85
Pt  0.5000  0.5000  0.0000 (multiplicity 1)  4 Hg 2.80, 6 Pt 2.81-2.85
Au  0.5000  0.0000  0.5000 (multiplicity 1)  4 Pt 2.80, 4 Hg 2.81, 2 Au 2.85

Output
Crystal system: orthorhombic
Mass density (kg/m3): 19654



No. 14
Material: HgPt2Au
Method: DFT, SCAN
State: single point on PBEsol structure

Lattice parameters (Å, degrees): 2.9913 4.7052 4.7165 90.00 90.00 90.00
With the nearest neighbours (Å) after each atom.
Space group Pmm2 (No. 25)
Symmetry-distinct sites (fractional):
Hg  0.0000  0.0000  0.0000 (multiplicity 1)  8 Pt 2.79, 2 Hg 2.99
Pt  0.5000  0.0000  0.4996 (multiplicity 1)  4 Hg 2.79, 4 Au 2.79, 2 Pt 2.99
Pt  0.5000  0.5000  0.0402 (multiplicity 1)  4 Au 2.77-2.81, 4 Hg 2.79, 2 Pt 2.99
Au  0.0000  0.5000  0.5352 (multiplicity 1)  8 Pt 2.77-2.81, 2 Au 2.99

Output
Crystal system: orthorhombic
Mass density (kg/m3): 19705



No. 15
Material: HgPt2Au
Method: DFT, SCAN
State: single point on PBEsol structure

Lattice parameters (Å, degrees): 4.1440 4.1440 7.7040 90.00 90.00 90.00
With the nearest neighbours (Å) after each atom.
Space group I4/mmm (No. 139)
Symmetry-distinct sites (fractional):
Hg  0.0000  0.0000  0.0000 (multiplicity 2)  8 Pt 2.83, 4 Au 2.93
Pt  0.0000  0.5000  0.2500 (multiplicity 4)  4 Hg 2.83, 4 Au 2.83, 4 Pt 2.93
Au  0.0000  0.0000  0.5000 (multiplicity 2)  8 Pt 2.83, 4 Hg 2.93

Output
Crystal system: tetragonal
Mass density (kg/m3): 19774



no.,magnetic moment (μB per atom),uncorrected energy (eV for the cell shown),energy relative to the elements (eV/atom)
1,0.0000,-1123.48,0.100
2,0.0000,-281.12,0.038
3,0.0000,-700.11,0.074
4,0.0000,-281.21,0.015
5,0.0000,-562.31,0.028
6,0.7951,-318.75,1.039
7,0.0000,-303.84,0.519
8,0.0000,-543.13,0.092
9,0.0000,-231.39,0.851
10,0.0003,-1013.54,-0.730
11,0.0000,-554.66,0.095
12,0.0000,-277.24,0.117
13,0.0000,-277.31,0.099
14,0.0000,-277.21,0.124
15,0.0000,-554.67,0.093